Density functional theory data (GGA+U) for a geometry-optimized Na3Mn2P2C2O14 structure.

```
46
Lattice="9.114 0.000 0.000 0.000 6.571 0.000 -0.302 0.000 10.387" Properties=species:S:1:pos:R:3 pbc="T T T"
Na 2.109 0.000 1.333
Na 1.959 6.310 6.590
Na 2.118 3.423 1.356
Na 6.694 0.138 9.031
Na 6.853 3.025 3.798
Na 6.703 3.285 9.055
Mn 2.902 1.730 8.869
Mn 3.147 1.692 3.737
Mn 5.665 4.977 6.651
Mn 5.911 5.016 1.518
P 3.607 4.992 9.332
P 3.814 4.954 4.018
P 4.998 1.669 6.369
P 5.205 1.707 1.056
C 0.467 1.688 9.215
C 0.726 1.661 4.076
C 8.086 4.947 6.312
C 8.345 4.973 1.173
O 0.189 5.002 6.141
O 0.471 4.984 1.024
O 1.079 1.639 8.058
O 1.326 1.702 2.883
O 1.331 1.729 10.219
O 1.627 1.562 5.035
O 2.733 6.216 8.970
O 2.758 3.754 9.002
O 2.934 3.739 3.635
O 3.025 6.201 3.548
O 3.614 1.566 7.053
O 3.842 1.726 1.803
O 4.037 5.031 5.565
O 4.198 5.013 0.497
O 4.614 1.728 9.890
O 4.775 1.746 4.823
O 4.970 5.011 8.584
O 5.198 4.851 3.335
O 5.787 2.915 6.840
O 5.878 0.454 6.752
O 6.054 0.468 1.385
O 6.079 2.930 1.417
O 7.185 4.848 5.352
O 7.481 5.014 0.169
O 7.486 4.988 7.504
O 7.734 4.924 2.330
O 8.342 1.698 9.364
O 8.623 1.716 4.247
```

Results
Total moment = 0.304 μB/atom
Density = 2.6 g/cm3
Space-group type = P2_1
Distance to the lowest polymorph of the same formula = 0.007 eV per atom